(1)
Compound: BeFe2Hg
Source: Alexandria
Functional: PBEsol
Structure: relaxed

Structure (POSCAR):
```
BeFe2Hg
1.0
4.018 -1.382 0.000
4.018 1.382 0.000
-0.937 0.000 4.633
Be Fe Hg
1 2 1
Cartesian
0.000 0.000 0.000 Be
1.358 0.000 3.671 Fe
3.626 0.000 2.843 Fe
5.840 0.000 1.318 Hg
```

- Electronic total energy: -5.30 eV/atom
- SG: Cm
- Offset from the most stable computed form: 0.0 meV per atom
- Formation energy: 1.28 eV/f.u.

---

(2)
Compound: KBeFeI2
Source: Alexandria
Functional: PBEsol
Structure: relaxed

Structure (POSCAR):
```
KBeFeI2
1.0
5.496 0.000 0.000
0.000 5.496 0.000
0.000 0.000 4.418
K Be Fe I
1 1 1 2
Cartesian
0.000 0.000 0.000 K
2.748 2.748 2.209 Be
2.748 2.748 0.000 Fe
0.000 2.748 2.209 I
2.748 0.000 2.209 I
```

- Formation energy without anion corrections: 248.4 meV/atom
- Electronic total energy: -3.28 eV/atom
- SG: P4/mmm

---

(3)
Compound: BeFeIN2
Source: Alexandria
Functional: PBEsol
Structure: relaxed

Structure (POSCAR):
```
BeFeIN2
1.0
3.531 0.000 0.000
0.000 3.531 0.000
0.000 0.000 5.807
Be Fe I N
1 1 1 2
Cartesian
0.000 0.000 0.000 Be
1.766 1.766 2.903 Fe
1.766 1.766 0.000 I
0.000 1.766 2.903 N
1.766 0.000 2.903 N
```

- Formation energy without anion corrections: 912.3 meV/atom
- Electronic total energy: -5.44 eV/atom
- SG: P4/mmm

---

(4)
Compound: BeFeI2N
Source: Alexandria
Functional: PBEsol
Structure: relaxed

Structure (POSCAR):
```
BeFeI2N
1.0
5.358 0.000 0.000
0.000 5.358 0.000
0.000 0.000 3.178
Be Fe I N
1 1 2 1
Cartesian
0.000 0.000 0.000 Be
2.679 2.679 1.589 Fe
0.000 2.679 0.000 I
2.679 0.000 0.000 I
0.000 0.000 1.589 N
```

- Formation energy without anion corrections: 729.4 meV/atom
- Electronic total energy: -4.28 eV/atom
- SG: P4/mmm

---

(5)
Compound: BeFeIO2
Source: Alexandria
Functional: PBEsol
Structure: relaxed

Structure (POSCAR):
```
BeFeIO2
1.0
3.554 0.000 0.000
0.000 3.554 0.000
0.000 0.000 5.420
Be Fe I O
1 1 1 2
Cartesian
0.000 0.000 0.000 Be
1.777 1.777 2.710 Fe
0.000 0.000 2.710 I
0.000 1.777 0.000 O
1.777 0.000 0.000 O
```

- Formation energy without anion corrections: -47.8 meV/atom
- Electronic total energy: -5.09 eV/atom
- SG: P4/mmm

---

(6)
Compound: TiBe2FeI
Source: Alexandria
Functional: PBEsol
Structure: relaxed

Structure (POSCAR):
```
TiBe2FeI
1.0
4.700 0.000 0.000
0.000 4.700 0.000
0.000 0.000 4.193
Ti Be Fe I
1 2 1 1
Cartesian
0.000 0.000 0.000 Ti
0.000 2.350 0.000 Be
2.350 0.000 0.000 Be
0.000 0.000 2.097 Fe
2.350 2.350 2.097 I
```

- Formation energy without anion corrections: 1446.9 meV/atom
- Electronic total energy: -3.96 eV/atom
- SG: P4/mmm

---

> Which formula does entry 6 have?

TiBe2FeI